1.
{"formula": "MgPaTl", "functional": "PBE", "state": "relaxed", "de_polymorph_mev_per_atom": 0.0, "lattice_angstrom": [[-0.8751, -4.2751, 2.5001], [-4.1836, -2.6369, -0.9151], [0.2830, -4.4149, -2.3920]], "species": ["Mg", "Pa", "Tl"], "fractional_positions": [[0.2500, 0.2500, 0.2500], [0.7500, 0.7500, 0.7500], [0.0000, 0.0000, 0.0000]]}



2.
{"formula": "La2PrNiPt2Pb3", "functional": "PBE", "state": "relaxed", "energy_ev_per_atom": -5.59, "lattice_angstrom": [[4.0855, 0.0000, 0.0000], [0.0000, 6.8443, 3.9439], [0.0000, -6.8443, 3.9439]], "species": ["Pb", "Pb", "Pb", "Ni", "Pt", "Pt", "La", "La", "Pr"], "fractional_positions": [[0.5000, 0.2457, 0.2457], [0.5000, 0.9984, 0.7554], [0.5000, 0.7554, 0.9984], [0.0000, 0.9991, 0.9991], [0.5000, 0.6666, 0.3319], [0.5000, 0.3319, 0.6666], [0.0000, 0.0003, 0.4116], [0.0000, 0.4116, 0.0003], [0.0000, 0.5909, 0.5909]]}



3.
{"formula": "Dy5Lu2Ni2Te2", "functional": "PBE", "state": "relaxed", "de_polymorph_mev_per_atom": 13.0, "lattice_angstrom": [[-1.9147, 7.7524, 4.7517], [1.9147, -7.7524, 4.7517], [1.9147, 7.7524, -4.7517]], "species": ["Dy", "Dy", "Dy", "Dy", "Dy", "Lu", "Lu", "Ni", "Ni", "Te", "Te"], "fractional_positions": [[0.8765, 0.7304, 0.1460], [0.5612, 0.3767, 0.1845], [0.5844, 0.7304, 0.8540], [0.1922, 0.3767, 0.8155], [0.4991, 0.9991, 0.5000], [0.9477, 0.5821, 0.3657], [0.2164, 0.5821, 0.6343], [0.3309, 0.0695, 0.2614], [0.8081, 0.0695, 0.7386], [0.2300, 0.2300, 0.0000], [0.8418, 0.3418, 0.5000]]}



4.
{"formula": "NaNbSO", "functional": "PBE", "state": "relaxed", "de_polymorph_mev_per_atom": 0.0, "lattice_angstrom": [[-2.9031, 1.2544, 0.1741], [0.6592, -2.6871, 1.5416], [3.6759, 7.0255, 10.6743]], "species": ["O", "O", "S", "S", "Nb", "Nb", "Na", "Na"], "fractional_positions": [[0.3333, 0.6667, 0.3616], [0.6667, 0.3333, 0.8616], [0.3333, 0.6667, 0.1415], [0.6667, 0.3333, 0.6415], [0.0000, 0.0000, 0.7636], [0.0000, 0.0000, 0.2636], [0.0000, 0.0000, 0.9833], [0.0000, 0.0000, 0.4833]]}



5.
{"formula": "MgNbOs2", "functional": "PBE", "state": "relaxed", "energy_ev_per_atom": -8.36, "lattice_angstrom": [[1.3047, 3.2650, -2.5570], [-2.0490, -3.4253, -1.7233], [-7.2317, 3.7642, 1.1166]], "species": ["Os", "Os", "Os", "Os", "Nb", "Nb", "Mg", "Mg"], "fractional_positions": [[0.6667, 0.3333, 0.3980], [0.3333, 0.6667, 0.6020], [0.3333, 0.6667, 0.8980], [0.6667, 0.3333, 0.1020], [0.6667, 0.3333, 0.7500], [0.3333, 0.6667, 0.2500], [0.0000, 0.0000, 0.0000], [0.0000, 0.0000, 0.5000]]}



6.
{"formula": "Lu4CuSnC2", "functional": "PBE", "state": "relaxed", "energy_ev_per_atom": -5.96, "lattice_angstrom": [[3.5418, 0.0000, 0.0000], [-1.7709, 3.0673, 0.0000], [0.0000, 0.0000, 14.3476]], "species": ["C", "C", "Lu", "Lu", "Lu", "Lu", "Cu", "Sn"], "fractional_positions": [[0.6667, 0.3333, 0.2326], [0.6667, 0.3333, 0.7674], [0.3333, 0.6667, 0.1427], [0.0000, 0.0000, 0.3224], [0.3333, 0.6667, 0.8573], [0.0000, 0.0000, 0.6776], [0.0000, 0.0000, 0.0000], [0.3333, 0.6667, 0.5000]]}